[1]
CeDy3Er2Te6: optimized geometry, PBE.

Properties
The uncorrected energy is -5.251 eV per atom. The value obtained for the size of the total moment is 1.30 μB/f.u. Its raw formation energy is -1275 meV/atom.

Unit cell a=19.0308 b=4.3373 c=8.7898 alpha=90.00 beta=103.26 gamma=90.00
Space group C2/m (No. 12)
One atom of each set of equivalent atoms:
Ce 0.0000 0.0000 0.0000
Dy 0.0000 0.0000 0.5000
Dy 0.1623 0.5000 0.8326
Er 0.1634 0.5000 0.3269
Te 0.0014 0.5000 0.2586
Te 0.1692 0.0000 0.5806
Te 0.1714 0.0000 0.0866



[2]
Ce3DyEr2Te6: optimized geometry, PBE.

Properties
The uncorrected energy is -5.514 eV per atom. The value obtained for the size of the total moment is 3.58 μB/f.u. Its raw formation energy is -1316 meV/atom.

Unit cell a=7.5456 b=13.0936 c=7.7858 alpha=90.00 beta=108.92 gamma=90.00
Space group C2/m (No. 12)
One atom of each set of equivalent atoms:
Ce 0.0000 0.0000 0.0000
Ce 0.0000 0.3348 0.0000
Dy 0.0000 0.5000 0.5000
Er 0.0000 0.1669 0.5000
Te 0.2430 0.0000 0.7355
Te 0.2468 0.3323 0.7370



[3]
CeDy2Er3Te6: optimized geometry, PBE.

Properties
The uncorrected energy is -5.238 eV per atom. The value obtained for the size of the total moment is 1.33 μB/f.u. Its raw formation energy is -1264 meV/atom.

Unit cell a=19.0718 b=4.3265 c=8.7884 alpha=90.00 beta=104.08 gamma=90.00
Space group C2/m (No. 12)
One atom of each set of equivalent atoms:
Ce 0.0000 0.0000 0.0000
Dy 0.1630 0.5000 0.3262
Er 0.0000 0.0000 0.5000
Er 0.1640 0.5000 0.8326
Te 0.0009 0.5000 0.7403
Te 0.1678 0.0000 0.5838
Te 0.1714 0.0000 0.0820



[4]
CeDy6Er3Th2: optimized geometry, PBE.

Properties
The uncorrected energy is -5.139 eV per atom. The value obtained for the size of the total moment is 0.48 μB/f.u. Its energy of formation is 0.034 eV per atom.

Unit cell a=6.1288 b=10.6094 c=11.6944 alpha=90.00 beta=100.09 gamma=90.00
Space group C2/m (No. 12)
One atom of each set of equivalent atoms:
Ce 0.0000 0.0000 0.0000
Dy 0.2489 0.5000 0.2479
Dy 0.2501 0.1671 0.2476
Er 0.0000 0.1668 0.5000
Er 0.0000 0.5000 0.5000
Th 0.0000 0.3334 0.0000



[5]
CeDyErTh: optimized geometry, PBE.

Properties
The uncorrected energy is -5.605 eV per atom. For the energy relative to the lowest polymorph listed for this composition, the calculation gives 0 meV per atom. The value obtained for the size of the total moment is 0.16 μB/f.u. Its energy of formation is 0.025 eV per atom.

Unit cell a=3.5371 b=3.5371 c=34.0177 alpha=90.00 beta=90.00 gamma=120.00
Space group R3m (No. 160, hexagonal axes)
One atom of each set of equivalent atoms:
Ce 0.0000 0.0000 0.0000
Dy 0.0000 0.0000 0.1677
Er 0.0000 0.0000 0.4167
Th 0.0000 0.0000 0.5853



[6]
CeDy5Er2Th: optimized geometry, PBE.

Properties
The uncorrected energy is -4.869 eV per atom. The value obtained for the size of the total moment is 0.69 μB/f.u. Its energy of formation is 0.186 eV per atom.

Unit cell a=5.6824 b=21.1895 c=9.7032 alpha=90.00 beta=90.00 gamma=90.00
Space group Cmc2_1 (No. 36)
One atom of each set of equivalent atoms:
Ce 0.0000 0.1909 0.0000
Dy 0.0000 0.0142 0.9954
Dy 0.0000 0.2709 0.3022
Dy 0.0000 0.3026 0.6847
Dy 0.0000 0.3958 0.0171
Dy 0.0000 0.4690 0.7176
Er 0.0000 0.1155 0.3065
Er 0.0000 0.1279 0.6943
Th 0.0000 0.4070 0.3998



[7]
CeDy3Er6Th2: optimized geometry, PBE.

Properties
The uncorrected energy is -5.133 eV per atom. The value obtained for the size of the total moment is 0.50 μB/f.u. Its energy of formation is 0.030 eV per atom.

Unit cell a=6.1184 b=10.5947 c=11.6266 alpha=90.00 beta=100.12 gamma=90.00
Space group C2/m (No. 12)
One atom of each set of equivalent atoms:
Ce 0.0000 0.0000 0.0000
Dy 0.0000 0.1669 0.5000
Dy 0.0000 0.5000 0.5000
Er 0.2484 0.5000 0.2471
Er 0.2502 0.1673 0.2468
Th 0.0000 0.3334 0.0000



[8]
CeDyErTh: optimized geometry, PBE.

Properties
The uncorrected energy is -5.406 eV per atom. For the energy relative to the lowest polymorph listed for this composition, the calculation gives 199 meV per atom. The value obtained for the size of the total moment is 2.57 μB/f.u. Its energy of formation is 0.224 eV per atom.

Unit cell a=7.9649 b=7.9649 c=7.9649 alpha=90.00 beta=90.00 gamma=90.00
Space group F-43m (No. 216)
One atom of each set of equivalent atoms:
Ce 0.0000 0.0000 0.0000
Dy 0.2500 0.2500 0.2500
Er 0.0000 0.0000 0.5000
Th 0.2500 0.2500 0.7500